Compound: K3Cd
Source: Alexandria via LeMat-Bulk
Functional: GGA-PBEsol
Structure: relaxed

Values from the calculation:
volume: 374.55 Å³/cell
calculated density: 2.04 g cm⁻³
energy of formation: 73 meV per atom

Cell and atoms, written as CIF:
```
data_K3Cd
_cell_length_a 5.9900
_cell_length_b 5.9900
_cell_length_c 10.4390
_cell_angle_alpha 90.00
_cell_angle_beta 90.00
_cell_angle_gamma 90.00
_space_group_name_H-M_alt 'I 4/m m m'
_space_group_IT_number 139
_space_group_name_Hall '-I 4 2'
loop_
_atom_site_label
_atom_site_type_symbol
_atom_site_fract_x
_atom_site_fract_y
_atom_site_fract_z
_atom_site_occupancy
K1 K 0.0000 0.0000 0.0000 1
K2 K 0.0000 0.5000 0.2500 1
Cd1 Cd 0.0000 0.0000 0.5000 1
```


Compound: K2Cd
Source: Alexandria via LeMat-Bulk
Functional: GGA-PBEsol
Structure: relaxed

Values from the calculation:
volume: 562.88 Å³/cell
energy above the most stable polymorph in this dataset: 36 meV per atom
calculated density: 2.25 g cm⁻³
energy of formation: 68 meV per atom

Cell and atoms, written as CIF:
```
data_K2Cd
_cell_length_a 4.0913
_cell_length_b 4.0913
_cell_length_c 33.6264
_cell_angle_alpha 90.00
_cell_angle_beta 90.00
_cell_angle_gamma 90.00
_space_group_name_H-M_alt 'I 41/a m d'
_space_group_IT_number 141
loop_
_space_group_symop_operation_xyz
'x,y,z'
'-x,-y,-z'
'-y+1/4,x+3/4,z+1/4'
'y+1/4,-x+3/4,-z+1/4'
'-x+1/2,-y,z+1/2'
'x+1/2,y,-z+1/2'
'y+1/4,-x+1/4,z+3/4'
'-y+1/4,x+1/4,-z+3/4'
'x,-y,-z'
'-x,y,z'
'-y+1/4,-x+1/4,-z+3/4'
'y+1/4,x+1/4,z+3/4'
'-x+1/2,y,-z+1/2'
'x+1/2,-y,z+1/2'
'y+1/4,x+3/4,-z+1/4'
'-y+1/4,-x+3/4,z+1/4'
'x+1/2,y+1/2,z+1/2'
'-x+1/2,-y+1/2,-z+1/2'
'-y+3/4,x+1/4,z+3/4'
'y+3/4,-x+1/4,-z+3/4'
'-x,-y+1/2,z'
'x,y+1/2,-z'
'y+3/4,-x+3/4,z+1/4'
'-y+3/4,x+3/4,-z+1/4'
'x+1/2,-y+1/2,-z+1/2'
'-x+1/2,y+1/2,z+1/2'
'-y+3/4,-x+3/4,-z+1/4'
'y+3/4,x+3/4,z+1/4'
'-x,y+1/2,-z'
'x,-y+1/2,z'
'y+3/4,x+1/4,-z+3/4'
'-y+3/4,-x+1/4,z+3/4'
loop_
_atom_site_label
_atom_site_type_symbol
_atom_site_fract_x
_atom_site_fract_y
_atom_site_fract_z
_atom_site_occupancy
K1 K 0.0000 0.2500 0.3095 1
Cd1 Cd 0.0000 0.2500 0.8750 1
```


Compound: KCd
Source: Alexandria via LeMat-Bulk
Functional: GGA-PBEsol
Structure: relaxed

Values from the calculation:
volume: 307.98 Å³/cell
calculated density: 3.27 g cm⁻³
energy of formation: 5 meV per atom

Cell and atoms, written as CIF:
```
data_KCd
_cell_length_a 4.7134
_cell_length_b 12.8402
_cell_length_c 5.0888
_cell_angle_alpha 90.00
_cell_angle_beta 90.00
_cell_angle_gamma 90.00
_space_group_name_H-M_alt 'C m c m'
_space_group_IT_number 63
_space_group_name_Hall '-C 2c 2'
loop_
_atom_site_label
_atom_site_type_symbol
_atom_site_fract_x
_atom_site_fract_y
_atom_site_fract_z
_atom_site_occupancy
K1 K 0.0000 0.1536 0.2500 1
Cd1 Cd 0.0000 0.4482 0.2500 1
```


Compound: K5Cd
Source: Alexandria via LeMat-Bulk
Functional: GGA-PBEsol
Structure: relaxed

Values from the calculation:
volume: 652.99 Å³/cell
energy above the most stable polymorph in this dataset: 21 meV per atom
calculated density: 1.57 g cm⁻³
energy of formation: 53 meV per atom

Cell and atoms, written as CIF:
```
data_K5Cd
_cell_length_a 6.1199
_cell_length_b 17.4897
_cell_length_c 6.1007
_cell_angle_alpha 90.00
_cell_angle_beta 90.00
_cell_angle_gamma 90.00
_space_group_name_H-M_alt 'C m m m'
_space_group_IT_number 65
_space_group_name_Hall '-C 2 2'
loop_
_atom_site_label
_atom_site_type_symbol
_atom_site_fract_x
_atom_site_fract_y
_atom_site_fract_z
_atom_site_occupancy
K1 K 0.0000 0.0000 0.0000 1
K2 K 0.0000 0.1492 0.5000 1
K3 K 0.0000 0.3497 0.0000 1
Cd1 Cd 0.0000 0.5000 0.5000 1
```


Compound: KCd
Source: Alexandria via LeMat-Bulk
Functional: GGA-PBEsol
Structure: relaxed

Values from the calculation:
volume: 256.80 Å³/cell
calculated density: 3.92 g cm⁻³
energy of formation: 70 meV per atom

Cell and atoms, written as CIF:
```
data_KCd
_cell_length_a 5.6575
_cell_length_b 5.6575
_cell_length_c 8.0230
_cell_angle_alpha 90.00
_cell_angle_beta 90.00
_cell_angle_gamma 90.00
_space_group_name_H-M_alt 'I 41/a m d'
_space_group_IT_number 141
loop_
_space_group_symop_operation_xyz
'x,y,z'
'-x,-y,-z'
'-y+1/4,x+3/4,z+1/4'
'y+1/4,-x+3/4,-z+1/4'
'-x+1/2,-y,z+1/2'
'x+1/2,y,-z+1/2'
'y+1/4,-x+1/4,z+3/4'
'-y+1/4,x+1/4,-z+3/4'
'x,-y,-z'
'-x,y,z'
'-y+1/4,-x+1/4,-z+3/4'
'y+1/4,x+1/4,z+3/4'
'-x+1/2,y,-z+1/2'
'x+1/2,-y,z+1/2'
'y+1/4,x+3/4,-z+1/4'
'-y+1/4,-x+3/4,z+1/4'
'x+1/2,y+1/2,z+1/2'
'-x+1/2,-y+1/2,-z+1/2'
'-y+3/4,x+1/4,z+3/4'
'y+3/4,-x+1/4,-z+3/4'
'-x,-y+1/2,z'
'x,y+1/2,-z'
'y+3/4,-x+3/4,z+1/4'
'-y+3/4,x+3/4,-z+1/4'
'x+1/2,-y+1/2,-z+1/2'
'-x+1/2,y+1/2,z+1/2'
'-y+3/4,-x+3/4,-z+1/4'
'y+3/4,x+3/4,z+1/4'
'-x,y+1/2,-z'
'x,-y+1/2,z'
'y+3/4,x+1/4,-z+3/4'
'-y+3/4,-x+1/4,z+3/4'
loop_
_atom_site_label
_atom_site_type_symbol
_atom_site_fract_x
_atom_site_fract_y
_atom_site_fract_z
_atom_site_occupancy
K1 K 0.0000 0.2500 0.3750 1
Cd1 Cd 0.0000 0.2500 0.8750 1
```


Compound: KCd
Source: Alexandria via LeMat-Bulk
Functional: GGA-PBEsol
Structure: relaxed

Values from the calculation:
volume: 145.73 Å³/cell
calculated density: 3.45 g cm⁻³
energy of formation: 43 meV per atom

Cell and atoms, written as CIF:
```
data_KCd
_cell_length_a 5.2623
_cell_length_b 3.9446
_cell_length_c 7.0204
_cell_angle_alpha 90.00
_cell_angle_beta 90.00
_cell_angle_gamma 90.00
_space_group_name_H-M_alt 'P m m a'
_space_group_IT_number 51
loop_
_space_group_symop_operation_xyz
'x,y,z'
'-x,-y,-z'
'-x+1/2,-y,z'
'x+1/2,y,-z'
'x+1/2,-y,-z'
'-x+1/2,y,z'
'-x,y,-z'
'x,-y,z'
loop_
_atom_site_label
_atom_site_type_symbol
_atom_site_fract_x
_atom_site_fract_y
_atom_site_fract_z
_atom_site_occupancy
K1 K 0.2500 0.0000 0.1912 1
Cd1 Cd 0.2500 0.5000 0.6028 1
```


Number 1: electronic total energy -1.077 eV per atom. Number 2: electronic total energy -1.087 eV per atom. Number 3: electronic total energy -1.161 eV per atom. Number 4: electronic total energy -1.091 eV per atom. Number 5: electronic total energy -1.096 eV per atom. Number 6: electronic total energy -1.122 eV per atom.